Run a
Here is a relaxed structure of RbSbIO2 from Alexandria via LeMat-Bulk. Energies are from GGA-PBE.

Properties
Volume in Å³/cell: 284.4
M_tot in μB/atom: 0.0000

abc: 5.555 6.717 8.329
angles: 113.78 90.00 90.00
Positions (direct):
Rb 0.250 0.612 0.223
Rb 0.750 0.388 0.777
Sb 0.250 0.951 0.901
Sb 0.750 0.049 0.099
I 0.750 0.779 0.559
I 0.250 0.221 0.441
O 0.500 0.191 0.000
O 0.000 0.809 0.000
O 0.500 0.809 0.000
O 0.000 0.191 0.000


Run b
Here is a relaxed structure of RbSbIO2 from Alexandria via LeMat-Bulk. Energies are from GGA-PBE.

Properties
Volume in Å³/cell: 120.4
M_tot in μB/atom: 0.0000

abc: 4.411 4.411 6.189
angles: 90.00 90.00 90.00
Positions (direct):
I 0.000 0.000 0.500
Sb 0.000 0.000 0.000
O 0.000 0.500 0.000
O 0.500 0.000 0.000
Rb 0.500 0.500 0.500


Top of the stability list: run a, leading by 0.468 eV/atom.


Run a
Here is a relaxed structure of RbScIO2 from Alexandria via LeMat-Bulk. Energies are from GGA-PBE.

Properties
Volume in Å³/cell: 116.0
M_tot in μB/atom: 0.0000

abc: 4.399 4.399 5.991
angles: 90.00 90.00 90.00
Positions (direct):
I 0.000 0.000 0.500
Sc 0.000 0.000 0.000
O 0.000 0.500 0.000
O 0.500 0.000 0.000
Rb 0.500 0.500 0.500


Run b
Here is a relaxed structure of RbScIO2 from Alexandria via LeMat-Bulk. Energies are from GGA-PBE.

Properties
Volume in Å³/cell: 123.8
M_tot in μB/atom: 0.0000

abc: 4.472 6.192 4.472
angles: 90.00 90.00 90.00
Positions (direct):
I 0.000 0.500 0.000
Sc 0.500 0.500 0.500
O 0.000 0.000 0.500
O 0.500 0.000 0.000
Rb 0.000 0.000 0.000


Top of the stability list: run a, leading by 1.869 eV/atom.


Run a
Here is a relaxed structure of RbSeIO2 from Alexandria via LeMat-Bulk. Energies are from GGA-PBE.

Properties
Volume in Å³/cell: 175.5
M_tot in μB/atom: 0.7230

abc: 4.740 4.740 7.813
angles: 90.00 90.00 90.00
Site moments in Bohr magnetons follow the coordinates.
Positions (direct):
I 0.000 0.000 0.500  0.04
O 0.000 0.500 0.000  1.15
O 0.500 0.000 0.000  1.15
Se 0.500 0.500 0.500  0.33
Rb 0.000 0.000 0.000  0.16


Run b
Here is a relaxed structure of RbSeIO2 from Alexandria via LeMat-Bulk. Energies are from GGA-PBE.

Properties
Volume in Å³/cell: 110.2
M_tot in μB/atom: 0.0000

abc: 4.390 4.390 5.720
angles: 90.00 90.00 90.00
Positions (direct):
I 0.000 0.000 0.500
O 0.000 0.500 0.000
O 0.500 0.000 0.000
Se 0.000 0.000 0.000
Rb 0.500 0.500 0.500


Top of the stability list: run b, leading by 0.948 eV/atom.